Record 1
DFT (PBE-GGA) results for Ho2Er5Tm5 after structural relaxation.

Results
Calculated total energy: -4.5022 eV/atom
SG: C2/m (12)
Size of the total moment: 0.000 μB/f.u.
Formation energy from the elements: 0.025 eV/atom
ρ: 9.23 g cm⁻³
D(E_F): 1.375 states/eV/atom

Cell: 4.9354 7.8126 10.4847 Å, 72.68 76.39 71.59°
Sites, in units of the cell vectors:
1 Er 0.4163 0.9173 0.2501
2 Er 0.6665 0.6668 0.0001
3 Er 0.3335 0.3332 0.9999
4 Er 0.5837 0.0827 0.7499
5 Er 0.5000 0.5000 0.5000
6 Tm 0.1670 0.1660 0.4999
7 Tm 0.7501 0.2495 0.2502
8 Tm 0.2499 0.7505 0.7498
9 Tm 0.0000 0.0000 0.0000
10 Tm 0.8330 0.8340 0.5001
11 Ho 0.0833 0.5830 0.2505
12 Ho 0.9167 0.4170 0.7495


Record 2
DFT (PBE-GGA) results for Y4HoTm7 after structural relaxation.

Results
Calculated total energy: -5.0575 eV/atom
SG: P-1 (2)
Size of the total moment: 0.000 μB/f.u.
Formation energy from the elements: 0.087 eV/atom
ρ: 7.56 g cm⁻³
D(E_F): 1.782 states/eV/atom

Cell: 6.9199 8.3968 8.6097 Å, 88.27 100.93 50.97°
Sites, in units of the cell vectors:
1 Y 0.4208 0.3482 0.6799
2 Y 0.2044 0.1869 0.3326
3 Y 0.7956 0.8131 0.6674
4 Y 0.5792 0.6518 0.3201
5 Tm 0.2739 0.4781 0.0251
6 Tm 0.0558 0.6816 0.3236
7 Tm 0.7261 0.5219 0.9749
8 Tm 0.9442 0.3184 0.6764
9 Tm 0.5000 0.0000 0.0000
10 Tm 0.2855 0.8223 0.6339
11 Tm 0.7145 0.1777 0.3661
12 Ho 0.0000 0.0000 0.0000


Record 3
DFT (PBE-GGA) results for Ac2PmPrEr after structural relaxation.

Results
Calculated total energy: -4.2154 eV/atom
SG: Pmma (51)
Size of the total moment: 0.000 μB/f.u.
Formation energy from the elements: 0.247 eV/atom
ρ: 7.64 g cm⁻³
D(E_F): 1.325 states/eV/atom

Cell: 6.8420 8.8697 6.5002 Å, 90.00 90.00 90.00°
Sites, in units of the cell vectors:
1 Ac 0.2879 0.2938 0.2500
2 Ac 0.2879 0.7062 0.2500
3 Ac 0.7121 0.2938 0.7500
4 Ac 0.7121 0.7062 0.7500
5 Pr 0.5858 0.0000 0.2500
6 Pr 0.4142 0.0000 0.7500
7 Er 0.0000 0.0000 0.5000
8 Er 0.0000 0.0000 0.0000
9 Pm 0.1835 0.5000 0.7500
10 Pm 0.8165 0.5000 0.2500